Record 1
DFT (PBE) results for an optimized crystal structure of AcLaPm3Tm.

a b c (Å): 7.0135 5.7627 10.9320
angles (deg): 90.00 103.68 90.00
Last column: nearest neighbours and their distance in Å.
Space group P2_1/m (No. 11)
Inequivalent atoms, fractional coordinates:
1 Ac 0.1326 0.2500 0.2800 [2 per cell]  2 La 3.51-3.78, 3 Tm 3.61-3.86, 6 Pm 3.72-3.83
2 La 0.3815 0.7500 0.8138 [2 per cell]  4 Pm 3.30-3.65, 1 Ac 3.51
3 Pm 0.1372 0.2500 0.9403 [2 per cell]  6 Pm 3.54-3.86, 1 Tm 3.61, 3 Ac 3.72-3.94, 3 La 3.78-3.79
4 Pm 0.3680 0.7500 0.4830 [2 per cell]  3 Pm 3.40-3.69, 4 Tm 3.58-3.73, 1 La 3.60, 2 Ac 3.77
5 Pm 0.3817 0.7500 0.1479 [2 per cell]  3 La 3.30-3.65, 2 Pm 3.54-3.69, 1 Tm 3.65
6 Tm 0.1566 0.2500 0.6133 [2 per cell]  6 Pm 3.58-3.73, 3 Ac 3.61-3.86, 2 La 3.74

Properties
E_tot: -27.4 eV/f.u.
Calculated formation energy: 5.61 kJ per mole of atoms
M_tot: 0.00 μB/f.u.


Record 2
DFT (PBE) results for an optimized crystal structure of LiMn2AsH.

a b c (Å): 3.7242 3.7242 3.8041
angles (deg): 90.00 90.00 90.00
Last column: nearest neighbours and their distance in Å.
Space group P4/mmm (No. 123)
Inequivalent atoms, fractional coordinates:
1 Li 0.0000 0.0000 0.0000 [1 per cell]  2 H 1.90
2 Mn 0.0000 0.5000 0.5000 [2 per cell]  2 H 1.86
3 As 0.5000 0.5000 0.0000 [1 per cell]  4 Li 2.63, 8 Mn 2.66
4 H 0.0000 0.0000 0.5000 [1 per cell]  4 Mn 1.86, 2 Li 1.90

Properties
E_tot: -29.1 eV/f.u.
M_tot: 5.09 μB/f.u.